Record 1
NaInHg4 | PBE | optimized geometry

Cell lengths 5.263, 7.250, 8.527 Å; angles 90.00, 90.00, 90.00 degrees
Fractional coordinates of all 12 atoms:
Hg: 0.500 0.975 0.325
Hg: 0.500 0.750 0.957
Hg: 0.500 0.525 0.325
In: 0.000 0.250 0.722
Hg: 0.500 0.025 0.675
In: 0.000 0.750 0.278
Hg: 0.000 0.000 0.000
Hg: 0.500 0.250 0.043
Na: 0.000 0.250 0.332
Na: 0.000 0.750 0.668
Hg: 0.000 0.500 0.000
Hg: 0.500 0.475 0.675

## Properties
Formation enthalpy at 0 K ... -0.5 eV/f.u.
Raw total energy ... -11.527 eV per cell

=====

Record 2
NdErRh | PBE | optimized geometry

Cell lengths 4.478, 5.843, 6.539 Å; angles 106.45, 90.00, 90.00 degrees
Fractional coordinates of all 6 atoms:
Nd: 0.252 0.434 0.719
Rh: 0.752 0.163 0.449
Er: 0.252 0.029 0.205
Er: 0.752 0.979 0.798
Nd: 0.752 0.574 0.284
Rh: 0.252 0.845 0.554

## Properties
Formation enthalpy at 0 K ... -1.6 eV/f.u.
Raw total energy ... -36.588 eV per cell

=====

Number 1: density 9.60 g cm⁻³, magnetization 0.00 μB per formula unit, ΔE to the lowest computed polymorph 16 kJ/mol of formula units. Number 2: density 8.39 g cm⁻³, magnetization 0.00 μB per formula unit, ΔE to the lowest computed polymorph 0 kJ/mol of formula units.